[1]
# Na2TiCo | Alexandria | GGA-PBE | relaxed
# Offset from the most stable computed form (eV per formula unit): 1.35
# VASP energy (eV per atom): -3.21
# Total magnetization (μB/cell): 5.83
# ΔH_f (0 K) (eV per atom): 1.197
data_Na2TiCo
_chemical_formula_sum 'Na8 Ti4 Co4'
_symmetry_space_group_name_H-M 'F m -3 m'
_symmetry_Int_Tables_number 225
_symmetry_space_group_name_Hall '-F 4 2 3'
_cell_length_a 6.720
_cell_length_b 6.720
_cell_length_c 6.720
_cell_angle_alpha 90.00
_cell_angle_beta 90.00
_cell_angle_gamma 90.00
loop_
_atom_site_label
_atom_site_type_symbol
_atom_site_fract_x
_atom_site_fract_y
_atom_site_fract_z
Na1 Na 0.250 0.250 0.250
Ti1 Ti 0.000 0.000 0.000
Co1 Co 0.000 0.000 0.500

***

[2]
# Na3TiCo | Alexandria | GGA-PBE | relaxed
# Offset from the most stable computed form (eV per formula unit): 1.16
# VASP energy (eV per atom): -2.12
# Total magnetization (μB/cell): 5.69
# ΔH_f (0 K) (eV per atom): 1.672
data_Na3TiCo
_chemical_formula_sum 'Na3 Ti1 Co1'
_symmetry_space_group_name_H-M 'P m -3 m'
_symmetry_Int_Tables_number 221
_symmetry_space_group_name_Hall '-P 4 2 3'
_cell_length_a 5.848
_cell_length_b 5.848
_cell_length_c 5.848
_cell_angle_alpha 90.00
_cell_angle_beta 90.00
_cell_angle_gamma 90.00
loop_
_atom_site_label
_atom_site_type_symbol
_atom_site_fract_x
_atom_site_fract_y
_atom_site_fract_z
Na1 Na 0.000 0.000 0.500
Ti1 Ti 0.000 0.000 0.000
Co1 Co 0.500 0.500 0.500

***

[3]
# NaTi2Co2 | Alexandria | GGA-PBE | relaxed
# VASP energy (eV per atom): -6.22
# Total magnetization (μB/cell): 0.00
# ΔH_f (0 K) (eV per atom): 0.044
data_NaTi2Co2
_chemical_formula_sum 'Na2 Ti4 Co4'
_symmetry_space_group_name_H-M 'P 4/m b m'
_symmetry_Int_Tables_number 127
_symmetry_space_group_name_Hall '-P 4 2ab'
_cell_length_a 7.375
_cell_length_b 7.375
_cell_length_c 2.778
_cell_angle_alpha 90.00
_cell_angle_beta 90.00
_cell_angle_gamma 90.00
loop_
_atom_site_label
_atom_site_type_symbol
_atom_site_fract_x
_atom_site_fract_y
_atom_site_fract_z
Na1 Na 0.000 0.000 0.000
Ti1 Ti 0.142 0.358 0.000
Co1 Co 0.140 0.640 0.500

***

[4]
# NaTi3Co | Alexandria | GGA-PBE | relaxed
# Offset from the most stable computed form (eV per formula unit): 0.00
# VASP energy (eV per atom): -5.97
# Total magnetization (μB/cell): 1.90
# ΔH_f (0 K) (eV per atom): 0.452
data_NaTi3Co
_chemical_formula_sum 'Na1 Ti3 Co1'
_symmetry_space_group_name_H-M 'P m -3 m'
_symmetry_Int_Tables_number 221
_symmetry_space_group_name_Hall '-P 4 2 3'
_cell_length_a 4.627
_cell_length_b 4.627
_cell_length_c 4.627
_cell_angle_alpha 90.00
_cell_angle_beta 90.00
_cell_angle_gamma 90.00
loop_
_atom_site_label
_atom_site_type_symbol
_atom_site_fract_x
_atom_site_fract_y
_atom_site_fract_z
Na1 Na 0.000 0.000 0.000
Ti1 Ti 0.000 0.500 0.500
Co1 Co 0.500 0.500 0.500

***

[5]
# Na3TiCo | Alexandria | GGA-PBE | relaxed
# Offset from the most stable computed form (eV per formula unit): 0.00
# VASP energy (eV per atom): -2.35
# Total magnetization (μB/cell): 0.28
# ΔH_f (0 K) (eV per atom): 1.441
data_Na3TiCo
_chemical_formula_sum 'Na3 Ti1 Co1'
_symmetry_space_group_name_H-M 'P m -3 m'
_symmetry_Int_Tables_number 221
_symmetry_space_group_name_Hall '-P 4 2 3'
_cell_length_a 5.154
_cell_length_b 5.154
_cell_length_c 5.154
_cell_angle_alpha 90.00
_cell_angle_beta 90.00
_cell_angle_gamma 90.00
loop_
_atom_site_label
_atom_site_type_symbol
_atom_site_fract_x
_atom_site_fract_y
_atom_site_fract_z
Na1 Na 0.000 0.000 0.500
Ti1 Ti 0.500 0.500 0.500
Co1 Co 0.000 0.000 0.000

***

[6]
# NaTiCo2 | Alexandria | GGA-PBE | relaxed
# Offset from the most stable computed form (eV per formula unit): 0.00
# VASP energy (eV per atom): -5.42
# Total magnetization (μB/cell): 0.02
# ΔH_f (0 K) (eV per atom): 0.435
data_NaTiCo2
_chemical_formula_sum 'Na4 Ti4 Co8'
_symmetry_space_group_name_H-M 'F m -3 m'
_symmetry_Int_Tables_number 225
_symmetry_space_group_name_Hall '-F 4 2 3'
_cell_length_a 6.022
_cell_length_b 6.022
_cell_length_c 6.022
_cell_angle_alpha 90.00
_cell_angle_beta 90.00
_cell_angle_gamma 90.00
loop_
_atom_site_label
_atom_site_type_symbol
_atom_site_fract_x
_atom_site_fract_y
_atom_site_fract_z
Na1 Na 0.000 0.000 0.000
Ti1 Ti 0.000 0.000 0.500
Co1 Co 0.250 0.250 0.250